1.
This record from Alexandria via LeMat-Bulk describes a relaxed structure of LiIrO4. The functional is PBE-GGA.

a = 4.529 Å, b = 5.495 Å, c = 10.533 Å
α = 90.00°, β = 90.00°, γ = 90.00°
Sites, in units of the cell vectors:
Li 0.000 0.197 0.250
Li 0.000 0.803 0.750
Li 0.500 0.303 0.750
Li 0.500 0.697 0.250
Ir 0.000 0.500 0.000
Ir 0.000 0.500 0.500
Ir 0.500 0.000 0.000
Ir 0.500 0.000 0.500
O 0.219 0.498 0.645
O 0.219 0.502 0.145
O 0.233 0.237 0.422
O 0.233 0.763 0.922
O 0.267 0.263 0.922
O 0.267 0.737 0.422
O 0.281 0.002 0.145
O 0.281 0.998 0.645
O 0.719 0.002 0.355
O 0.719 0.998 0.855
O 0.733 0.263 0.578
O 0.733 0.737 0.078
O 0.767 0.237 0.078
O 0.767 0.763 0.578
O 0.781 0.498 0.855
O 0.781 0.502 0.355

Calculated values
offset from the most stable computed form: 0 meV/atom
uncorrected energy: -143.257 eV per cell
V: 262.1 Å³/cell
energy relative to the elements, uncorrected: -0.868 eV per atom

2.
This record from Alexandria via LeMat-Bulk describes a relaxed structure of LiIrO6. The functional is PBE-GGA.

a = 5.500 Å, b = 5.500 Å, c = 5.500 Å
α = 60.00°, β = 60.00°, γ = 60.00°
Sites, in units of the cell vectors:
Li 0.000 0.000 0.000
Ir 0.500 0.500 0.500
O 0.263 0.263 0.737
O 0.263 0.737 0.263
O 0.263 0.737 0.737
O 0.737 0.263 0.263
O 0.737 0.263 0.737
O 0.737 0.737 0.263

Calculated values
uncorrected energy: -41.612 eV per cell
V: 117.7 Å³/cell
energy relative to the elements, uncorrected: -0.136 eV per atom

3.
This record from Alexandria via LeMat-Bulk describes a relaxed structure of Li2IrO3. The functional is PBE-GGA.

a = 9.940 Å, b = 9.491 Å, c = 5.151 Å
α = 79.50°, β = 69.86°, γ = 30.63°
Sites, in units of the cell vectors:
Li 0.045 0.045 0.205
Li 0.122 0.122 0.628
Li 0.205 0.205 0.045
Li 0.372 0.372 0.878
Li 0.628 0.628 0.122
Li 0.795 0.795 0.955
Li 0.878 0.878 0.372
Li 0.955 0.955 0.795
Ir 0.291 0.291 0.459
Ir 0.459 0.459 0.291
Ir 0.541 0.541 0.709
Ir 0.709 0.709 0.541
O 0.040 0.539 0.223
O 0.143 0.607 0.607
O 0.223 0.698 0.040
O 0.302 0.777 0.461
O 0.393 0.857 0.857
O 0.461 0.960 0.302
O 0.539 0.040 0.698
O 0.607 0.143 0.143
O 0.698 0.223 0.539
O 0.777 0.302 0.960
O 0.857 0.393 0.393
O 0.960 0.461 0.777

Calculated values
uncorrected energy: -143.172 eV per cell
V: 225.8 Å³/cell
energy relative to the elements, uncorrected: -1.372 eV per atom

4.
This record from Alexandria via LeMat-Bulk describes a relaxed structure of LiIr2O. The functional is PBE-GGA.

a = 5.413 Å, b = 5.413 Å, c = 5.413 Å
α = 98.93°, β = 98.93°, γ = 133.58°
Sites, in units of the cell vectors:
Li 0.000 0.000 0.000
Li 0.750 0.250 0.500
Ir 0.227 0.625 0.102
Ir 0.375 0.477 0.602
Ir 0.523 0.125 0.898
Ir 0.875 0.773 0.398
O 0.250 0.750 0.500
O 0.500 0.500 0.000

Calculated values
uncorrected energy: -47.383 eV per cell
V: 105.6 Å³/cell
energy relative to the elements, uncorrected: 0.226 eV per atom